Compound: Si2PRh
Source: the Alexandria database
Functional: PBE-GGA
Structure: optimized geometry

CIF file:
```
data_Si2PRh
_chemical_formula_sum 'Si2 P1 Rh1'
_cell_length_a 2.727
_cell_length_b 4.457
_cell_length_c 4.606
_cell_angle_alpha 90.00
_cell_angle_beta 90.00
_cell_angle_gamma 90.00
_space_group_name_H-M_alt 'P m m m'
_space_group_IT_number 47
loop_
_space_group_symop_operation_xyz
'x,y,z'
'-x,-y,-z'
'-x,-y,z'
'x,y,-z'
'x,-y,-z'
'-x,y,z'
'-x,y,-z'
'x,-y,z'
loop_
_atom_site_label
_atom_site_type_symbol
_atom_site_fract_x
_atom_site_fract_y
_atom_site_fract_z
Si1 Si 0.000 0.000 0.000
Si2 Si 0.500 0.000 0.500
P1 P 0.000 0.500 0.500
Rh1 Rh 0.500 0.500 0.000
```

Computed properties:
Fermi-level density of states ... 0.3818 states/eV/atom
V ... 13.99 Å³ per atom
Energy relative to the elements, uncorrected ... 0.18 eV per atom